[1]
! Rb2GaPbBr6 PBE optimized geometry; values from VASP
&SYSTEM
  ibrav = 0, nat = 10, ntyp = 4
/
ATOMIC_SPECIES
Rb 85.47 Rb.upf
Ga 69.72 Ga.upf
Pb 207.20 Pb.upf
Br 79.90 Br.upf
CELL_PARAMETERS angstrom
8.038 -0.054 -0.022
-0.054 8.054 0.040
-4.008 -3.972 5.617
ATOMIC_POSITIONS angstrom
Rb 3.920 -0.109 2.779
Rb 0.056 4.144 2.855
Ga 4.029 -4.021 5.593
Pb -0.016 0.033 5.624
Br 6.057 6.110 0.629
Br 3.729 3.429 2.953
Br -2.082 -2.073 5.004
Br 2.091 -2.090 5.332
Br 0.247 0.607 2.679
Br 1.884 6.128 0.300
! * formation energy from raw total energies: -1.152 eV/atom

[2]
! BaHg2F8 PBE optimized geometry; values from VASP
&SYSTEM
  ibrav = 0, nat = 11, ntyp = 3
/
ATOMIC_SPECIES
Ba 137.33 Ba.upf
Hg 200.59 Hg.upf
F 19.00 F.upf
CELL_PARAMETERS angstrom
5.838 0.000 0.000
0.000 5.838 0.000
-2.919 -2.919 6.274
ATOMIC_POSITIONS angstrom
Ba 2.919 2.919 0.000
Hg 2.919 0.000 3.137
Hg 0.000 2.919 3.137
F 3.978 1.131 1.730
F -1.788 1.059 4.544
F 1.788 -1.059 4.544
F -1.059 -1.788 4.544
F 1.859 4.707 1.730
F 4.707 3.978 1.730
F 1.131 1.859 1.730
F 1.059 1.788 4.544
! * energy above the most stable polymorph in this dataset: 0 meV per atom
! * formation energy from raw total energies: -1.874 eV/atom

[3]
! BaLuCd2 PBE optimized geometry; values from VASP
&SYSTEM
  ibrav = 0, nat = 4, ntyp = 3
/
ATOMIC_SPECIES
Lu 174.97 Lu.upf
Ba 137.33 Ba.upf
Cd 112.41 Cd.upf
CELL_PARAMETERS angstrom
-3.811 0.362 0.515
-0.621 -2.676 -2.715
0.216 -5.857 5.724
ATOMIC_POSITIONS angstrom
Lu -2.216 -1.157 -1.100
Ba -2.108 -4.085 1.762
Cd 0.173 -4.692 4.585
Cd 0.043 -1.165 1.139
! * ΔE_f: -1.1 eV/f.u.
! * energy above the most stable polymorph in this dataset: 0 meV per atom

[4]
! Ta2ZnAs PBE optimized geometry; values from VASP
&SYSTEM
  ibrav = 0, nat = 4, ntyp = 3
/
ATOMIC_SPECIES
As 74.92 As.upf
Ta 180.95 Ta.upf
Zn 65.41 Zn.upf
CELL_PARAMETERS angstrom
3.130 0.000 0.000
0.000 3.130 0.000
0.000 0.000 6.787
ATOMIC_POSITIONS angstrom
As 1.565 1.565 5.091
Ta 0.000 0.000 6.651
Ta 0.000 0.000 3.530
Zn 1.565 1.565 1.697
! * ΔE_f: 0.0 eV/f.u.
! * energy above the most stable polymorph in this dataset: 52 meV per atom

[5]
! InCuTc2 PBE optimized geometry; values from VASP
&SYSTEM
  ibrav = 0, nat = 4, ntyp = 3
/
ATOMIC_SPECIES
Cu 63.55 Cu.upf
In 114.82 In.upf
Tc 98.00 Tc.upf
CELL_PARAMETERS angstrom
5.268 0.005 0.014
-2.595 4.584 0.014
0.442 0.760 2.596
ATOMIC_POSITIONS angstrom
Cu 2.855 0.382 1.305
In -1.076 2.672 1.305
Tc 0.000 0.000 0.000
Tc 1.336 2.294 0.014
! * ΔE_f: 1.7 eV/f.u.

[6]
! LaYLuCd PBE optimized geometry; values from VASP
&SYSTEM
  ibrav = 0, nat = 4, ntyp = 4
/
ATOMIC_SPECIES
Y 88.91 Y.upf
Cd 112.41 Cd.upf
Lu 174.97 Lu.upf
La 138.91 La.upf
CELL_PARAMETERS angstrom
5.525 0.000 0.000
2.763 4.785 0.000
2.763 1.595 4.511
ATOMIC_POSITIONS angstrom
Y 8.288 4.785 3.383
Cd 5.525 3.190 2.256
Lu 0.000 0.000 0.000
La 2.763 1.595 1.128
! * ΔE_f: -0.3 eV/f.u.

[7]
! Ce8Hg2Ge PBE optimized geometry; values from VASP
&SYSTEM
  ibrav = 0, nat = 11, ntyp = 3
/
ATOMIC_SPECIES
Ce 140.12 Ce.upf
Hg 200.59 Hg.upf
Ge 72.64 Ge.upf
CELL_PARAMETERS angstrom
-1.482 -4.181 -2.964
-1.275 -6.719 4.896
-7.576 -1.464 3.243
ATOMIC_POSITIONS angstrom
Ce -2.891 -4.649 -1.685
Ce -7.843 -6.830 1.257
Ce -1.011 -4.080 0.908
Ce -4.987 -7.998 3.754
Ce -5.347 -4.366 1.420
Ce -1.747 -6.821 1.023
Ce -2.491 -5.534 3.917
Ce -7.443 -7.715 6.859
Hg -3.256 -2.644 2.748
Hg -5.596 -5.539 5.391
Ge -0.741 -2.090 -1.482
! * ΔE_f: -1.7 eV/f.u.

[8]
! Ni4Ir4Rh3 PBE optimized geometry; values from VASP
&SYSTEM
  ibrav = 0, nat = 11, ntyp = 3
/
ATOMIC_SPECIES
Ni 58.69 Ni.upf
Ir 192.22 Ir.upf
Rh 102.91 Rh.upf
CELL_PARAMETERS angstrom
2.700 -0.002 -0.230
-0.036 3.667 -0.460
-0.108 -0.020 14.709
ATOMIC_POSITIONS angstrom
Ni 1.444 1.997 0.968
Ni 1.112 1.648 13.052
Ni 2.109 2.982 8.777
Ni 0.447 0.662 5.242
Ir 0.220 0.323 2.567
Ir 0.669 0.990 7.846
Ir 1.887 2.655 6.174
Ir 2.336 3.322 11.452
Rh 1.666 2.325 3.566
Rh 0.890 1.319 10.453
Rh 2.592 -0.022 14.479
! * ΔE_f: 0.1 eV/f.u.

[9]
! TbTh5Pt6 PBE optimized geometry; values from VASP
&SYSTEM
  ibrav = 0, nat = 12, ntyp = 3
/
ATOMIC_SPECIES
Tb 158.93 Tb.upf
Pt 195.08 Pt.upf
Th 232.04 Th.upf
CELL_PARAMETERS angstrom
7.023 -0.076 -1.318
-3.766 5.929 -1.318
0.185 0.332 7.345
ATOMIC_POSITIONS angstrom
Tb 0.000 0.000 0.000
Pt 2.658 0.550 1.181
Pt 4.375 3.636 3.527
Pt 0.951 1.710 4.843
Pt 2.490 4.475 -0.135
Pt -0.933 2.549 1.181
Pt 0.784 5.634 3.527
Th 5.304 1.098 2.354
Th 3.429 1.925 -1.318
Th 1.721 3.092 2.354
Th -0.172 3.928 -1.318
Th -1.862 5.086 2.354
! * ΔE_f: -14.4 eV/f.u.

[10]
! Cs3Sn2S4 PBE optimized geometry; values from VASP
&SYSTEM
  ibrav = 0, nat = 18, ntyp = 3
/
ATOMIC_SPECIES
Cs 132.91 Cs.upf
Sn 118.71 Sn.upf
S 32.06 S.upf
CELL_PARAMETERS angstrom
8.550 -0.839 -0.093
-0.402 9.103 1.074
-1.189 0.200 9.095
ATOMIC_POSITIONS angstrom
Cs 6.317 8.411 7.710
Cs 5.114 1.856 0.316
Cs 0.643 0.052 2.366
Cs 1.845 6.607 9.760
Cs 1.247 3.363 6.033
Cs 5.713 5.100 4.044
Sn 2.462 7.201 5.987
Sn 0.418 3.907 2.130
Sn 4.497 1.262 4.089
Sn 6.541 4.556 7.946
S 3.191 0.246 6.270
S -1.004 3.007 8.924
S 3.768 8.217 3.806
S 7.964 5.456 1.152
S -0.219 6.526 6.624
S 2.955 2.949 2.965
S 7.178 1.937 3.452
S 4.004 5.514 7.112
! * formation energy from raw total energies: -0.832 eV/atom

[11]
! ZrSiRu2 PBE optimized geometry; values from VASP
&SYSTEM
  ibrav = 0, nat = 4, ntyp = 3
/
ATOMIC_SPECIES
Ru 101.07 Ru.upf
Si 28.09 Si.upf
Zr 91.22 Zr.upf
CELL_PARAMETERS angstrom
-2.332 -1.868 -0.566
0.201 -1.355 3.644
-3.385 3.746 1.580
ATOMIC_POSITIONS angstrom
Ru -3.328 3.683 1.553
Ru -2.052 -0.519 1.999
Si -1.555 1.721 0.726
Zr -3.658 1.258 2.749
! * formation energy from raw total energies: -0.384 eV/atom

[12]
! BeTlW2 PBE optimized geometry; values from VASP
&SYSTEM
  ibrav = 0, nat = 4, ntyp = 3
/
ATOMIC_SPECIES
Be 9.01 Be.upf
Tl 204.38 Tl.upf
W 183.84 W.upf
CELL_PARAMETERS angstrom
3.228 0.000 0.000
0.000 3.228 0.000
0.000 0.000 6.471
ATOMIC_POSITIONS angstrom
Be 0.000 0.000 2.880
Tl 1.614 1.614 4.710
W 0.000 0.000 0.385
W 1.614 1.614 1.731
! * ΔE_f: 2.1 eV/f.u.
! * energy above the most stable polymorph in this dataset: 10 meV per atom